Record 1
{"formula": "In2NiWCl", "functional": "GGA-PBE", "state": "relaxed", "raw_formation_energy_ev_per_atom": 1.20, "m_tot_mub_per_fu": 2.7, "volume_a3_per_atom": 22.4, "dos_ef_per_ev_atom": 0.85, "lattice_angstrom": [[5.333, 0.000, 0.000], [0.000, 5.333, 0.000], [0.000, 0.000, 3.946]], "species": ["In", "In", "Ni", "W", "Cl"], "fractional_positions": [[0.000, 0.500, 0.000], [0.500, 0.000, 0.000], [0.000, 0.000, 0.500], [0.500, 0.500, 0.500], [0.000, 0.000, 0.000]]}

Record 2
{"formula": "La4MnAu", "functional": "GGA-PBE", "state": "relaxed", "formation_enthalpy_0k_mev_per_atom": 504, "m_tot_mub_per_fu": 3.8, "volume_a3_per_atom": 30.5, "dos_ef_per_ev_atom": 1.56, "lattice_angstrom": [[0.000, 4.505, 4.505], [4.505, 0.000, 4.505], [4.505, 4.505, 0.000]], "species": ["La", "La", "La", "La", "Mn", "Au"], "fractional_positions": [[0.125, 0.125, 0.125], [0.125, 0.125, 0.625], [0.125, 0.625, 0.125], [0.625, 0.125, 0.125], [0.750, 0.750, 0.750], [0.500, 0.500, 0.500]]}

Record 3
{"formula": "Tb5Ho3Tm3", "functional": "GGA-PBE", "state": "relaxed", "formation_enthalpy_0k_mev_per_atom": 359, "m_tot_mub_per_fu": 0.0, "volume_a3_per_atom": 32.6, "dos_ef_per_ev_atom": 1.53, "lattice_angstrom": [[11.017, 0.000, 0.000], [-5.508, 9.541, 0.000], [0.000, 0.000, 3.414]], "species": ["Tb", "Tb", "Tb", "Tb", "Tb", "Ho", "Ho", "Ho", "Tm", "Tm", "Tm"], "fractional_positions": [[0.000, 0.161, 0.000], [0.161, 0.000, 0.000], [0.333, 0.667, 0.000], [0.667, 0.333, 0.000], [0.839, 0.839, 0.000], [0.000, 0.658, 0.000], [0.342, 0.342, 0.000], [0.658, 0.000, 0.000], [0.000, 0.407, 0.500], [0.407, 0.000, 0.500], [0.593, 0.593, 0.500]]}

Record 4
{"formula": "Cs2AlInO4", "functional": "GGA-PBE", "state": "relaxed", "raw_formation_energy_ev_per_atom": -1.84, "m_tot_mub_per_fu": 0.0, "volume_a3_per_atom": 24.3, "dos_ef_per_ev_atom": 0.00, "lattice_angstrom": [[0.000, 6.383, 11.227], [2.709, 0.000, 11.227], [2.709, 6.383, 0.000]], "species": ["Cs", "Cs", "Cs", "Cs", "Al", "Al", "In", "In", "O", "O", "O", "O", "O", "O", "O", "O"], "fractional_positions": [[0.051, 0.051, 0.699], [0.301, 0.301, 0.949], [0.699, 0.699, 0.051], [0.949, 0.949, 0.301], [0.375, 0.375, 0.375], [0.625, 0.625, 0.625], [0.125, 0.125, 0.125], [0.875, 0.875, 0.875], [0.039, 0.629, 0.548], [0.284, 0.548, 0.629], [0.371, 0.961, 0.716], [0.452, 0.716, 0.961], [0.548, 0.284, 0.039], [0.629, 0.039, 0.284], [0.716, 0.452, 0.371], [0.961, 0.371, 0.452]]}

Record 5
{"formula": "InBiPt", "functional": "GGA-PBE", "state": "relaxed", "formation_enthalpy_0k_mev_per_atom": -196, "m_tot_mub_per_fu": 0.0, "volume_a3_per_atom": 25.5, "dos_ef_per_ev_atom": 0.66, "lattice_angstrom": [[3.877, 0.000, 0.000], [-1.938, 3.357, 0.000], [0.000, 0.000, 5.885]], "species": ["In", "Bi", "Pt"], "fractional_positions": [[0.000, 0.000, 0.000], [0.333, 0.667, 0.444], [0.667, 0.333, 0.728]]}

Record 6
{"formula": "Pr6Sb5Br", "functional": "GGA-PBE", "state": "relaxed", "raw_formation_energy_ev_per_atom": -1.24, "m_tot_mub_per_fu": 0.0, "volume_a3_per_atom": 33.1, "dos_ef_per_ev_atom": 0.28, "lattice_angstrom": [[3.938, -6.811, 0.000], [3.938, 6.811, 0.000], [-2.618, 0.000, 7.402]], "species": ["Pr", "Pr", "Pr", "Pr", "Pr", "Pr", "Sb", "Sb", "Sb", "Sb", "Sb", "Br"], "fractional_positions": [[0.071, 0.415, 0.745], [0.242, 0.242, 0.255], [0.415, 0.071, 0.745], [0.585, 0.929, 0.255], [0.758, 0.758, 0.745], [0.929, 0.585, 0.255], [0.000, 0.000, 0.500], [0.167, 0.833, 0.000], [0.336, 0.664, 0.500], [0.664, 0.336, 0.500], [0.833, 0.167, 0.000], [0.500, 0.500, 0.000]]}

> What is the formula in the third record?

Tb5Ho3Tm3

> What is the formula in the fifth record?

InBiPt